{
  "formula": "AcHoFe2O6",
  "functional": "GGA+U",
  "state": "optimized geometry",
  "magmom_total_mub_per_fu": 8.000,
  "total_energy_ev_per_atom": -7.3761,
  "space_group": "No. 1",
  "cell": [[-0.047, 2.178, 5.109], [-0.058, -3.388, 4.381], [4.546, -0.315, 3.193]],
  "species": ["O", "O", "O", "Ac", "Fe", "Fe", "O", "O", "O", "Ho"],
  "frac_coords": [[0.728, 0.190, 0.755], [0.843, 0.682, 0.244], [0.704, 0.307, 0.168], [0.773, 0.759, 0.698], [0.518, 0.513, 0.450], [0.019, 0.017, 0.951], [0.300, 0.703, 0.762], [0.259, 0.894, 0.194], [0.230, 0.302, 0.621], [0.289, 0.295, 0.172]]
}